Crystalline SnSb2Se5 at its relaxed geometry. Source: Alexandria via LeMat-Bulk, functional PBE.

Raw formation energy (eV per atom): -0.229
Raw total energy (eV for the cell shown): -31.50

Unit cell a=7.069 b=7.260 c=7.239 alpha=61.62 beta=75.22 gamma=92.97
Fractional coordinates of all 8 atoms:
Se  0.849  0.654  0.413
Se  0.768  0.009  0.783
Sn  0.918  0.030  0.066
Sb  0.408  0.867  0.073
Sb  0.026  0.414  0.265
Se  0.732  0.285  0.168
Se  0.283  0.230  0.917
Se  0.240  0.733  0.867